No. 1
# Pr3Sn13Ir4 (SCAN, single point on PBEsol structure)
# - energy relative to the elements (eV per atom) = -0.582
# - M_tot (μB/f.u.) = 0.00
# - calculated total energy (eV per cell) = -1786.0
data_Pr3Sn13Ir4
_symmetry_space_group_name_H-M 'P m -3 n'
_symmetry_Int_Tables_number 223
_symmetry_space_group_name_Hall '-P 4n 2 3'
_cell_length_a 9.693
_cell_length_b 9.693
_cell_length_c 9.693
_cell_angle_alpha 90.00
_cell_angle_beta 90.00
_cell_angle_gamma 90.00
loop_
_atom_site_label
_atom_site_fract_x
_atom_site_fract_y
_atom_site_fract_z
Pr1 0.000 0.250 0.500
Sn1 0.000 0.000 0.000
Sn2 0.000 0.306 0.152
Ir1 0.250 0.250 0.250



No. 2
# Ba3Sr2Re3ClO15 (SCAN, single point on PBEsol structure)
# - M_tot (μB/f.u.) = 0.00
# - calculated total energy (eV per cell) = -1076.6
data_Ba3Sr2Re3ClO15
_symmetry_space_group_name_H-M 'P 63 c m'
_symmetry_Int_Tables_number 185
_symmetry_space_group_name_Hall 'P 6c -2'
_cell_length_a 10.6630
_cell_length_b 10.6630
_cell_length_c 7.6765
_cell_angle_alpha 90.00
_cell_angle_beta 90.00
_cell_angle_gamma 120.00
loop_
_atom_site_label
_atom_site_fract_x
_atom_site_fract_y
_atom_site_fract_z
Ba1 0.0000 0.2591 0.0000
Sr1 0.3333 0.6667 0.2497
Re1 0.0000 0.3917 0.4454
Cl1 0.0000 0.0000 0.2753
O1 0.0000 0.2848 0.6192
O2 0.1370 0.3949 0.2973
O3 0.1371 0.5549 0.9935



No. 3
# La3TiPd (SCAN, single point on PBEsol structure)
# - energy relative to the elements (eV per atom) = 0.128
# - M_tot (μB/f.u.) = 3.85
# - calculated total energy (eV per cell) = -177.5
data_La3TiPd
_symmetry_space_group_name_H-M 'P m -3 m'
_symmetry_Int_Tables_number 221
_symmetry_space_group_name_Hall '-P 4 2 3'
_cell_length_a 5.556
_cell_length_b 5.556
_cell_length_c 5.556
_cell_angle_alpha 90.00
_cell_angle_beta 90.00
_cell_angle_gamma 90.00
loop_
_atom_site_label
_atom_site_fract_x
_atom_site_fract_y
_atom_site_fract_z
La1 0.000 0.000 0.500
Ti1 0.500 0.500 0.500
Pd1 0.000 0.000 0.000



No. 4
# TaInI3 (SCAN, single point on PBEsol structure)
# - M_tot (μB/f.u.) = 4.12
# - calculated total energy (eV per cell) = -204.8
data_TaInI3
_symmetry_space_group_name_H-M 'P m -3 m'
_symmetry_Int_Tables_number 221
_symmetry_space_group_name_Hall '-P 4 2 3'
_cell_length_a 5.754
_cell_length_b 5.754
_cell_length_c 5.754
_cell_angle_alpha 90.00
_cell_angle_beta 90.00
_cell_angle_gamma 90.00
loop_
_atom_site_label
_atom_site_fract_x
_atom_site_fract_y
_atom_site_fract_z
Ta1 0.000 0.000 0.000
In1 0.500 0.500 0.500
I1 0.000 0.500 0.500